The following is a DFT calculation (PBE-GGA) of Si2HRh2 after structural relaxation.

Results
DOS(E_F)	2.1	states/eV per cell
raw total energy	-28.86	eV/cell
symmetry	I4/mmm (139)
offset from the most stable computed form	0.183	eV/atom

a b c (Å): 3.5673 3.5673 6.2259
angles (deg): 73.35 73.35 90.00
With the nearest neighbours (Å) after each atom.
Positions (direct):
Si: 0.2500 0.7500 0.5000  4 Rh 2.35, 4 Si 2.52
Si: 0.7500 0.2500 0.5000  4 Rh 2.35, 4 Si 2.52
Rh: 0.3839 0.3839 0.2323  4 Si 2.35
Rh: 0.6161 0.6161 0.7677  4 Si 2.35
H: 0.0000 0.0000 0.0000  8 Rh 2.85